! PrErCu2 (PBE, relaxed); values from VASP
! Formation enthalpy at 0 K = -0.21 eV/atom
! V = 22.2 Å³ per atom
&SYSTEM
  ibrav = 0, nat = 8, ntyp = 3
/
ATOMIC_SPECIES
Pr 140.91 Pr.upf
Er 167.26 Er.upf
Cu 63.55 Cu.upf
CELL_PARAMETERS angstrom
5.484 0.000 0.000
0.000 4.477 0.000
-0.332 0.000 7.228
ATOMIC_POSITIONS angstrom
Pr 0.665 1.119 1.342
Pr 4.486 3.358 5.886
Er 1.797 1.119 4.887
Er 3.355 3.358 2.341
Cu 0.576 3.358 3.410
Cu 1.789 3.358 6.956
Cu 3.363 1.119 0.272
Cu 4.575 1.119 3.817